Entry 1:
A relaxed Mn2InAuBr crystal, computed with PBE-GGA.

abc: 5.319 5.477 5.319
angles: 90.00 90.00 90.00
Last column: magnetic moment on the atom in μB.
Sites, in units of the cell vectors:
Mn  0.000  0.000  0.500  4.38
Mn  0.500  0.000  0.000  4.16
Au  0.500  0.500  0.500  0.03
Br  0.000  0.500  0.000  0.05
In  0.000  0.000  0.000  -0.13

Summary:
* raw total energy: -21.102 eV for the cell shown
* raw formation energy: 0.985 eV/atom
* distance to the lowest polymorph of the same formula: 354 meV/atom

---

Entry 2:
A relaxed In2MoAuBr crystal, computed with PBE-GGA.

abc: 6.782 6.782 5.821
angles: 90.00 90.00 90.00
Last column: magnetic moment on the atom in μB.
Sites, in units of the cell vectors:
Mo  0.500  0.500  0.500  -4.05
Au  0.000  0.000  0.500  -0.01
Br  0.000  0.000  0.000  0.00
In  0.000  0.500  0.000  0.01
In  0.500  0.000  0.000  0.01

Summary:
* raw total energy: -13.925 eV for the cell shown
* raw formation energy: 1.467 eV/atom

---

Entry 3:
A relaxed InPdAu2Br crystal, computed with PBE-GGA.

abc: 5.149 5.139 5.149
angles: 90.00 90.00 90.00
Sites, in units of the cell vectors:
Au  0.000  0.000  0.500
Au  0.500  0.000  0.000
Br  0.500  0.500  0.500
Pd  0.000  0.000  0.000
In  0.000  0.500  0.000

Summary:
* raw total energy: -14.662 eV for the cell shown
* raw formation energy: 0.299 eV/atom

---

Entry 4:
A relaxed RbIn2AuBr crystal, computed with PBE-GGA.

abc: 5.262 7.038 5.262
angles: 90.00 90.00 90.00
Sites, in units of the cell vectors:
Au  0.000  0.000  0.000
Br  0.500  0.500  0.500
Rb  0.000  0.500  0.000
In  0.000  0.000  0.500
In  0.500  0.000  0.000

Summary:
* raw total energy: -13.595 eV for the cell shown
* raw formation energy: -0.440 eV/atom

---

- raw formation energy of number 1 (Mn2InAuBr)?
  0.985 eV/atom

---

- What is the raw total energy in the fourth record?
  -13.595 eV for the cell shown

---

- Which value of raw total energy does entry 1 give?
  -21.102 eV for the cell shown